# InMo2O8, relaxed, DFT PBE with a Hubbard U
data_InMo2O8
_cell_length_a 6.0477
_cell_length_b 6.0477
_cell_length_c 6.1866
_cell_angle_alpha 90.00
_cell_angle_beta 90.00
_cell_angle_gamma 120.00
_space_group_name_H-M_alt 'P -3 m 1'
_space_group_IT_number 164
_space_group_name_Hall '-P 3 2"'
loop_
_atom_site_label
_atom_site_fract_x
_atom_site_fract_y
_atom_site_fract_z
In1 0.0000 0.0000 0.0000
Mo1 0.3333 0.6667 0.2868
O1 0.1696 0.3392 0.1953
O2 0.3333 0.6667 0.5707
# V: 17.8 A^3/atom
# Density of states at the Fermi level: 11.016 states/eV/cell
# Raw total energy: -6.498 eV/atom